A relaxed Nd4DyTl7 crystal, computed with PBE.

a b c (Å): 13.622 5.729 11.768
angles (deg): 90.00 123.27 90.00
Space group C2/m (No. 12)
Inequivalent atoms, fractional coordinates:
1 Nd 0.088 0.000 0.282 [4 per cell]
2 Nd 0.228 0.000 0.831 [4 per cell]
3 Dy 0.000 0.500 0.500 [2 per cell]
4 Tl 0.000 0.000 0.500 [2 per cell]
5 Tl 0.083 0.500 0.817 [4 per cell]
6 Tl 0.130 0.000 0.035 [4 per cell]
7 Tl 0.217 0.500 0.402 [4 per cell]

Density = 9.39 g/cm³
Energy relative to the elements = -0.161 eV per atom
Final energy = -0.1291 Ha/atom

=====

A relaxed LiTb6Pm crystal, computed with PBE.

a b c (Å): 9.4208 9.4208 9.6164
angles (deg): 90.00 90.00 120.00
Space group R-3 (No. 148, hexagonal axes)
Inequivalent atoms, fractional coordinates:
1 Li 0.0000 0.0000 0.0000 [3 per cell]
2 Tb 0.0315 0.2558 0.2048 [18 per cell]
3 Pm 0.0000 0.0000 0.5000 [3 per cell]

Density = 7.45 g/cm³
Energy relative to the elements = 0.144 eV per atom
Final energy = -0.1530 Ha/atom

=====

A relaxed Be2PH crystal, computed with PBE.

a b c (Å): 3.852 3.899 5.731
angles (deg): 109.83 91.55 90.84
Space group P1 (No. 1)
Inequivalent atoms, fractional coordinates:
1 Be 0.000 0.000 0.000 [1 per cell]
2 Be 0.199 0.061 0.490 [1 per cell]
3 Be 0.465 0.658 0.685 [1 per cell]
4 Be 0.742 0.530 0.114 [1 per cell]
5 P 0.264 0.464 0.290 [1 per cell]
6 P 0.737 0.169 0.713 [1 per cell]
7 H 0.232 0.721 0.886 [1 per cell]
8 H 0.732 0.902 0.133 [1 per cell]

Density = 2.05 g/cm³
E above lowest polymorph = 40 meV per atom
Final energy = -0.1543 Ha/atom

=====

A relaxed Cr2Pt crystal, computed with PBE.

a b c (Å): 2.621 2.621 11.471
angles (deg): 90.00 90.00 90.00
Space group I4/mmm (No. 139)
Inequivalent atoms, fractional coordinates:
1 Cr 0.000 0.000 0.171 [4 per cell]
2 Pt 0.000 0.000 0.500 [2 per cell]

Density = 12.61 g/cm³
Energy relative to the elements = 0.019 eV per atom
Final energy = -0.3091 Ha/atom

=====

A relaxed Ta2Nb3Os crystal, computed with PBE.

a b c (Å): 7.887 8.276 6.702
angles (deg): 90.00 97.85 90.00
Space group C2/c (No. 15)
Inequivalent atoms, fractional coordinates:
1 Ta 0.124 0.249 0.126 [8 per cell]
2 Nb 0.000 0.087 0.750 [4 per cell]
3 Nb 0.226 0.422 0.513 [8 per cell]
4 Os 0.000 0.412 0.750 [4 per cell]

Density = 12.74 g/cm³
E above lowest polymorph = 257 meV per atom
Energy relative to the elements = 0.084 eV per atom
Final energy = -0.3959 Ha/atom

=====

A relaxed Zn4PCl crystal, computed with PBE.

a b c (Å): 7.459 7.459 7.459
angles (deg): 90.00 90.00 90.00
Space group F-43m (No. 216)
Inequivalent atoms, fractional coordinates:
1 Zn 0.124 0.124 0.376 [16 per cell]
2 P 0.250 0.250 0.750 [4 per cell]
3 Cl 0.000 0.000 0.000 [4 per cell]

Density = 5.25 g/cm³
E_form (uncorrected) = 0.228 eV per atom
Final energy = -0.0673 Ha/atom

=====

A relaxed Na2GeRu crystal, computed with PBE.

a b c (Å): 8.094 8.094 4.957
angles (deg): 90.00 90.00 90.00
Space group I-42d (No. 122)
Inequivalent atoms, fractional coordinates:
1 Na 0.246 0.750 0.125 [8 per cell]
2 Ge 0.000 0.000 0.500 [4 per cell]
3 Ru 0.000 0.000 0.000 [4 per cell]

Density = 4.49 g/cm³
Energy relative to the elements = 0.554 eV per atom
Final energy = -0.1315 Ha/atom

=====

A relaxed Zr2Tl2Zn crystal, computed with PBE.

a b c (Å): 7.205 7.205 4.354
angles (deg): 90.00 90.00 90.00
Space group P4/mbm (No. 127)
Inequivalent atoms, fractional coordinates:
1 Zr 0.169 0.331 0.000 [4 per cell]
2 Tl 0.141 0.641 0.500 [4 per cell]
3 Zn 0.000 0.000 0.500 [2 per cell]

Density = 9.65 g/cm³
E above lowest polymorph = 15 meV per atom
Energy relative to the elements = 0.114 eV per atom
Final energy = -0.1656 Ha/atom

=====

A relaxed Pa3Sn2Pd4 crystal, computed with PBE.

a b c (Å): 8.747 4.818 8.983
angles (deg): 90.00 94.45 90.00
Space group C2/m (No. 12)
Inequivalent atoms, fractional coordinates:
1 Pa 0.000 0.000 0.000 [2 per cell]
2 Pa 0.140 0.500 0.580 [4 per cell]
3 Sn 0.180 0.500 0.224 [4 per cell]
4 Pd 0.042 0.000 0.347 [4 per cell]
5 Pd 0.166 0.500 0.915 [4 per cell]

Density = 11.93 g/cm³
Energy relative to the elements = -0.545 eV per atom
Final energy = -0.2539 Ha/atom

=====

A relaxed Ca3Ge8Pd3 crystal, computed with PBE.

a b c (Å): 4.359 10.421 12.377
angles (deg): 90.00 90.00 90.00
Space group Immm (No. 71)
Inequivalent atoms, fractional coordinates:
1 Ca 0.000 0.000 0.000 [2 per cell]
2 Ca 0.000 0.000 0.321 [4 per cell]
3 Ge 0.000 0.293 0.123 [8 per cell]
4 Ge 0.000 0.374 0.334 [8 per cell]
5 Pd 0.000 0.226 0.500 [4 per cell]
6 Pd 0.000 0.500 0.000 [2 per cell]

Density = 6.03 g/cm³
E above lowest polymorph = 39 meV per atom
Energy relative to the elements = -0.436 eV per atom
Final energy = -0.1696 Ha/atom

=====

A relaxed SrHfSeBr2 crystal, computed with PBE.

a b c (Å): 5.275 5.275 5.250
angles (deg): 90.00 90.00 90.00
Space group P4/mmm (No. 123)
Inequivalent atoms, fractional coordinates:
1 Sr 0.000 0.000 0.000 [1 per cell]
2 Hf 0.500 0.500 0.500 [1 per cell]
3 Se 0.500 0.500 0.000 [1 per cell]
4 Br 0.000 0.500 0.500 [2 per cell]

Density = 5.74 g/cm³
E above lowest polymorph = 0 meV per atom
E_form (uncorrected) = -1.029 eV per atom
Final energy = -0.1735 Ha/atom

=====

A relaxed Mn2SeS crystal, computed with PBE.

a b c (Å): 3.6829 3.6829 18.1398
angles (deg): 90.00 90.00 120.00
Space group R-3m (No. 166, hexagonal axes)
Inequivalent atoms, fractional coordinates:
1 Mn 0.0000 0.0000 0.2444 [6 per cell]
2 Se 0.0000 0.0000 0.0000 [3 per cell]
3 S 0.0000 0.0000 0.5000 [3 per cell]

Density = 5.16 g/cm³
E above lowest polymorph = 3 meV per atom
E_form (uncorrected) = -0.410 eV per atom
Final energy = -0.2535 Ha/atom

=====

A relaxed Sm2Y2Mg3 crystal, computed with PBE.

a b c (Å): 3.550 7.088 9.134
angles (deg): 69.49 78.88 75.53
Space group P-1 (No. 2)
Inequivalent atoms, fractional coordinates:
1 Sm 0.130 0.055 0.184 [2 per cell]
2 Y 0.388 0.267 0.459 [2 per cell]
3 Mg 0.171 0.366 0.788 [2 per cell]
4 Mg 0.500 0.500 0.000 [1 per cell]

Density = 4.42 g/cm³
Energy relative to the elements = 0.019 eV per atom
Final energy = -0.1418 Ha/atom

=====

A relaxed RbZr2SbPd crystal, computed with PBE.

a b c (Å): 5.403 5.403 6.362
angles (deg): 90.00 90.00 90.00
Space group P4/mmm (No. 123)
Inequivalent atoms, fractional coordinates:
1 Rb 0.000 0.000 0.000 [1 per cell]
2 Zr 0.000 0.500 0.500 [2 per cell]
3 Sb 0.000 0.000 0.500 [1 per cell]
4 Pd 0.500 0.500 0.000 [1 per cell]

Density = 4.43 g/cm³
E_form (uncorrected) = 0.986 eV per atom
Final energy = -0.1650 Ha/atom

=====

A relaxed ThPaW4 crystal, computed with PBE.

a b c (Å): 7.890 7.890 7.890
angles (deg): 90.00 90.00 90.00
Space group F-43m (No. 216)
Inequivalent atoms, fractional coordinates:
1 Th 0.000 0.000 0.000 [4 per cell]
2 Pa 0.250 0.250 0.750 [4 per cell]
3 W 0.125 0.125 0.375 [16 per cell]

Density = 16.20 g/cm³
Energy relative to the elements = 0.160 eV per atom
Final energy = -0.4151 Ha/atom

=====

A relaxed K2LiH6Os crystal, computed with PBE.

a b c (Å): 5.7403 5.7403 5.0097
angles (deg): 90.00 90.00 120.00
Space group P-3m1 (No. 164)
Inequivalent atoms, fractional coordinates:
1 K 0.3333 0.6667 0.2205 [2 per cell]
2 Li 0.0000 0.0000 0.5000 [1 per cell]
3 H 0.1400 0.2800 0.7923 [6 per cell]
4 Os 0.0000 0.0000 0.0000 [1 per cell]

Density = 3.27 g/cm³
Final energy = -0.1382 Ha/atom

=====

A relaxed Li2NiAs2 crystal, computed with PBE.

a b c (Å): 3.813 5.426 8.069
angles (deg): 90.00 90.00 90.00
Space group Immm (No. 71)
Inequivalent atoms, fractional coordinates:
1 Li 0.000 0.000 0.204 [4 per cell]
2 Ni 0.000 0.500 0.000 [2 per cell]
3 As 0.000 0.256 0.500 [4 per cell]

Density = 4.43 g/cm³
E above lowest polymorph = 82 meV per atom
Energy relative to the elements = -0.427 eV per atom
Final energy = -0.1547 Ha/atom

=====

A relaxed Tl2CoIr crystal, computed with PBE.

a b c (Å): 7.375 7.375 5.771
angles (deg): 90.00 90.00 90.00
Space group I-42d (No. 122)
Inequivalent atoms, fractional coordinates:
1 Tl 0.238 0.250 0.125 [8 per cell]
2 Co 0.000 0.000 0.000 [4 per cell]
3 Ir 0.000 0.000 0.500 [4 per cell]

Density = 13.96 g/cm³
E above lowest polymorph = 453 meV per atom
Energy relative to the elements = 0.865 eV per atom
Final energy = -0.1584 Ha/atom

=====

A relaxed CrSi2TeMo crystal, computed with PBE.

a b c (Å): 4.412 4.412 5.315
angles (deg): 90.00 90.00 90.00
Space group P4/mmm (No. 123)
Inequivalent atoms, fractional coordinates:
1 Cr 0.000 0.000 0.000 [1 per cell]
2 Si 0.000 0.500 0.000 [2 per cell]
3 Te 0.000 0.000 0.500 [1 per cell]
4 Mo 0.500 0.500 0.500 [1 per cell]

Density = 5.32 g/cm³
E_form (uncorrected) = 0.967 eV per atom
Final energy = -0.2176 Ha/atom